DFT (PBE) results for PmTlP after structural relaxation.

a b c (Å): 4.010 4.010 6.572
angles (deg): 107.76 107.76 90.00
Sites, in units of the cell vectors:
Tl 0.986 0.986 0.972
Pm 0.257 0.257 0.514
P 0.757 0.757 0.513

## Properties
- Space group: I4mm (107)
- DFT formation energy: -595 meV per atom
- Offset from the most stable computed form: 133 meV per atom
- Calculated total energy: -4.77 eV/atom